# TlZnGaSn

Crystalline TlZnGaSn at its relaxed geometry (PBE, Alexandria via LeMat-Bulk).

The structure in POSCAR format:
```
TlZnGaSn
1.0
7.2416 0.0000 0.0000
0.0000 7.2416 0.0000
0.0000 0.0000 7.2416
Tl Zn Ga Sn
4 4 4 4
direct
0.0000 0.0000 0.0000
0.0000 0.5000 0.5000
0.5000 0.0000 0.5000
0.5000 0.5000 0.0000
0.2500 0.2500 0.7500
0.2500 0.7500 0.2500
0.7500 0.2500 0.2500
0.7500 0.7500 0.7500
0.2500 0.2500 0.2500
0.2500 0.7500 0.7500
0.7500 0.2500 0.7500
0.7500 0.7500 0.2500
0.0000 0.0000 0.5000
0.0000 0.5000 0.0000
0.5000 0.0000 0.0000
0.5000 0.5000 0.5000
```

Output
symmetry = F-43m
formation energy from the elements = 0.111 eV per atom
size of the total moment = 0.00 μB per formula unit
mass density = 8.015 Mg/m³